# 1
# P2OsSCl (PBE, relaxed)
# space-group type = P4/mmm, No. 123
# raw formation energy = 1902.6 meV per atom
# calculated volume = 84.3 Å³/cell
# DOS(E_F) = 0.597 states/eV/atom
data_P2OsSCl
_symmetry_space_group_name_H-M 'P 1'
_symmetry_Int_Tables_number 1
_cell_length_a 4.338
_cell_length_b 4.338
_cell_length_c 4.481
_cell_angle_alpha 90.00
_cell_angle_beta 90.00
_cell_angle_gamma 90.00
loop_
_symmetry_equiv_pos_as_xyz
'x,y,z'
loop_
_atom_site_label
_atom_site_fract_x
_atom_site_fract_y
_atom_site_fract_z
P1 0.000 0.500 0.000
P2 0.500 0.000 0.000
S1 0.000 0.000 0.500
Os1 0.500 0.500 0.500
Cl1 0.000 0.000 0.000

***

# 2
# In2PdPt7 (PBE, relaxed)
# space-group type = Cmmm, No. 65
# calculated volume = 207.1 Å³/cell
# DOS(E_F) = 0.934 states/eV/atom
# energy relative to the elements = 0.152 eV/atom
data_In2PdPt7
_symmetry_space_group_name_H-M 'P 1'
_symmetry_Int_Tables_number 1
_cell_length_a 3.861
_cell_length_b 8.247
_cell_length_c 8.247
_cell_angle_alpha 127.96
_cell_angle_beta 90.00
_cell_angle_gamma 90.00
loop_
_symmetry_equiv_pos_as_xyz
'x,y,z'
loop_
_atom_site_label
_atom_site_fract_x
_atom_site_fract_y
_atom_site_fract_z
In1 0.500 0.693 0.307
In2 0.500 0.307 0.693
Pd1 0.000 0.000 0.000
Pt1 0.000 0.821 0.179
Pt2 0.000 0.179 0.821
Pt3 0.500 0.094 0.285
Pt4 0.500 0.906 0.715
Pt5 0.500 0.285 0.094
Pt6 0.500 0.715 0.906
Pt7 0.500 0.500 0.500

***

# 3
# Cu2GeHPd (PBE, relaxed)
# space-group type = P4/mmm, No. 123
# calculated volume = 58.4 Å³/cell
# DOS(E_F) = 0.428 states/eV/atom
# total energy = -0.314 Ry per atom
data_Cu2GeHPd
_symmetry_space_group_name_H-M 'P 1'
_symmetry_Int_Tables_number 1
_cell_length_a 3.872
_cell_length_b 3.872
_cell_length_c 3.896
_cell_angle_alpha 90.00
_cell_angle_beta 90.00
_cell_angle_gamma 90.00
loop_
_symmetry_equiv_pos_as_xyz
'x,y,z'
loop_
_atom_site_label
_atom_site_fract_x
_atom_site_fract_y
_atom_site_fract_z
H1 0.000 0.000 0.000
Ge1 0.500 0.500 0.500
Cu1 0.000 0.500 0.000
Cu2 0.500 0.000 0.000
Pd1 0.000 0.000 0.500